[1]
The following is a PBE-GGA calculation of a relaxed Nd2UGa crystal, from Alexandria via LeMat-Bulk.

abc: 3.2773 3.2773 11.7394
angles: 81.98 81.98 60.00
With the nearest neighbours (Å) after each atom.
Atoms (fractional coordinates):
Nd1 0.9056 0.9056 0.2833  3 Ga 3.14, 6 Nd 3.28, 1 U 3.28
Nd2 0.0944 0.0944 0.7167  3 Ga 3.14, 6 Nd 3.28, 1 U 3.28
Ga1 0.5000 0.5000 0.5000  6 Nd 3.14, 6 Ga 3.28
U1 0.0000 0.0000 0.0000  6 U 3.28, 2 Nd 3.28

Summary:
Crystal system = trigonal
Density of states at the Fermi level = 7.62 states/eV/f.u.
DFT total energy = -5.63 eV/atom
ΔE_f = 0.33 eV/atom

[2]
The following is a PBE-GGA calculation of a relaxed NdVGa2 crystal, from Alexandria via LeMat-Bulk.

abc: 4.3685 4.3685 5.8165
angles: 67.94 67.94 60.00
With the nearest neighbours (Å) after each atom.
Atoms (fractional coordinates):
Ga1 0.7126 0.7126 0.8621  3 V 2.62, 3 Ga 2.91
Ga2 0.2874 0.2874 0.1379  3 V 2.62, 3 Ga 2.91
Nd1 0.5000 0.5000 0.5000  8 Ga 3.16-3.34
V1 0.0000 0.0000 0.0000  6 Ga 2.62

Summary:
Crystal system = trigonal
Density of states at the Fermi level = 3.11 states/eV/f.u.
DFT total energy = -5.22 eV/atom
ΔE_f = -0.23 eV/atom

[3]
The following is a PBE-GGA calculation of a relaxed NdY2Ga crystal, from Alexandria via LeMat-Bulk.

abc: 3.5556 3.5556 9.0143
angles: 90.00 90.00 90.00
With the nearest neighbours (Å) after each atom.
Atoms (fractional coordinates):
Nd1 0.5000 0.5000 0.5000  4 Nd 3.56, 8 Y 3.66
Y1 0.0000 0.0000 0.2042  4 Ga 3.12
Y2 0.0000 0.0000 0.7958  4 Ga 3.12
Ga1 0.5000 0.5000 0.0000  8 Y 3.12

Summary:
Crystal system = tetragonal
Density of states at the Fermi level = 3.71 states/eV/f.u.
DFT total energy = -5.48 eV/atom
ΔE_f = -0.30 eV/atom

[4]
The following is a PBE-GGA calculation of a relaxed NdY3Ga2 crystal, from Alexandria via LeMat-Bulk.

abc: 4.9870 6.6539 9.6202
angles: 90.00 90.00 90.00
With the nearest neighbours (Å) after each atom.
Atoms (fractional coordinates):
Y1 0.5000 0.1680 0.8248  4 Ga 3.02-3.15
Y2 0.0000 0.4636 0.9455  3 Ga 3.09-3.15, 2 Y 3.38
Y3 0.0000 0.9636 0.0545  3 Ga 3.09-3.15, 2 Y 3.38
Y4 0.5000 0.6680 0.1752  4 Ga 3.02-3.15
Y5 0.0000 0.8308 0.6851  4 Ga 3.07-3.16, 2 Nd 3.41
Y6 0.0000 0.3308 0.3149  4 Ga 3.07-3.16, 2 Nd 3.41
Ga1 0.0000 0.7873 0.3584  5 Y 3.07-3.16, 2 Nd 3.13
Ga2 0.5000 0.7101 0.8630  6 Y 3.02-3.13, 1 Nd 3.21
Ga3 0.5000 0.2101 0.1370  6 Y 3.02-3.13, 1 Nd 3.21
Ga4 0.0000 0.2873 0.6416  5 Y 3.07-3.16, 2 Nd 3.13
Nd1 0.5000 0.5402 0.5504  3 Ga 3.13-3.21, 2 Y 3.41, 2 Nd 3.47
Nd2 0.5000 0.0402 0.4496  3 Ga 3.13-3.21, 2 Y 3.41, 2 Nd 3.47

Summary:
Crystal system = orthorhombic
Density of states at the Fermi level = 5.99 states/eV/f.u.
DFT total energy = -5.47 eV/atom
ΔE_f = -0.43 eV/atom

[5]
The following is a PBE-GGA calculation of a relaxed Nd2YGa2 crystal, from Alexandria via LeMat-Bulk.

abc: 3.6632 6.1383 6.5056
angles: 101.34 106.35 90.00
With the nearest neighbours (Å) after each atom.
Atoms (fractional coordinates):
Y1 0.0000 0.0000 0.0000  4 Ga 3.06
Ga1 0.2997 0.8943 0.5994  2 Ga 2.69
Ga2 0.7003 0.1057 0.4006  2 Ga 2.69
Nd1 0.6346 0.5706 0.2691  4 Ga 3.13-3.22, 1 Nd 3.29
Nd2 0.3654 0.4294 0.7309  4 Ga 3.13-3.22, 1 Nd 3.29

Summary:
Crystal system = monoclinic
Density of states at the Fermi level = 5.29 states/eV/f.u.
DFT total energy = -4.77 eV/atom
ΔE_f = -0.36 eV/atom

[6]
The following is a PBE-GGA calculation of a relaxed NdY2Ga crystal, from Alexandria via LeMat-Bulk.

abc: 4.2587 6.4945 9.0995
angles: 90.00 90.00 109.14
With the nearest neighbours (Å) after each atom.
Atoms (fractional coordinates):
Ga1 0.7508 0.5017 0.7500  6 Y 3.05-3.08, 2 Nd 3.15
Ga2 0.2492 0.4983 0.2500  6 Y 3.05-3.08, 2 Nd 3.15
Nd1 0.9382 0.8764 0.2500  2 Ga 3.15
Nd2 0.0618 0.1236 0.7500  2 Ga 3.15
Y1 0.6442 0.2884 0.0559  3 Ga 3.05-3.08
Y2 0.3558 0.7116 0.5559  3 Ga 3.05-3.08
Y3 0.6442 0.2884 0.4441  3 Ga 3.05-3.08
Y4 0.3558 0.7116 0.9441  3 Ga 3.05-3.08

Summary:
Crystal system = orthorhombic
Density of states at the Fermi level = 6.01 states/eV/f.u.
DFT total energy = -5.44 eV/atom
ΔE_f = -0.26 eV/atom